Entry 1:
Entry from the Alexandria database: a relaxed structure of YAl5Pd3 (PBE-GGA).

Computed properties:
- formation energy (eV/atom) = -0.68
- energy (eV per atom) = -5.21

a = 4.044 Å, b = 12.882 Å, c = 12.563 Å
α = 90.00°, β = 90.00°, γ = 90.00°
Space group Cmcm (No. 63)
Asymmetric unit:
1 Y 0.000 0.149 0.250 [4 per cell]
2 Al 0.000 0.000 0.000 [4 per cell]
3 Al 0.000 0.201 0.559 [8 per cell]
4 Al 0.000 0.434 0.148 [8 per cell]
5 Pd 0.000 0.138 0.750 [4 per cell]
6 Pd 0.000 0.392 0.551 [8 per cell]

***

Entry 2:
Entry from the Alexandria database: a relaxed structure of ScPSN2 (PBE-GGA).

Computed properties:
- energy (eV per atom) = -6.49

a = 3.570 Å, b = 3.570 Å, c = 4.626 Å
α = 90.00°, β = 90.00°, γ = 90.00°
Space group P4/mmm (No. 123)
Asymmetric unit:
1 Sc 0.000 0.000 0.000 [1 per cell]
2 P 0.500 0.500 0.500 [1 per cell]
3 S 0.500 0.500 0.000 [1 per cell]
4 N 0.000 0.500 0.500 [2 per cell]

***

Entry 3:
Entry from the Alexandria database: a relaxed structure of Ti2BiAs (PBE-GGA).

Computed properties:
- formation energy (eV/atom) = 0.13
- energy (eV per atom) = -5.95

a = 6.060 Å, b = 6.060 Å, c = 12.113 Å
α = 90.00°, β = 90.00°, γ = 90.00°
Space group I-42d (No. 122)
Asymmetric unit:
1 Ti 0.207 0.250 0.125 [8 per cell]
2 Bi 0.000 0.000 0.500 [4 per cell]
3 As 0.000 0.000 0.000 [4 per cell]

***

Entry 4:
Entry from the Alexandria database: a relaxed structure of TiMnBr2 (PBE-GGA).

Computed properties:
- energy (eV per atom) = -4.94

a = 6.647 Å, b = 6.647 Å, c = 6.647 Å
α = 90.00°, β = 90.00°, γ = 90.00°
Space group Fm-3m (No. 225)
Asymmetric unit:
1 Ti 0.000 0.000 0.000 [4 per cell]
2 Mn 0.000 0.000 0.500 [4 per cell]
3 Br 0.250 0.250 0.250 [8 per cell]